(1)
A plane-wave DFT calculation with PBE-GGA was carried out for a relaxed CaIn2Ag2 crystal.

E above lowest polymorph (eV per atom): 0.0000
DFT formation energy (meV/atom): -232
Magnetic moment (μB per cell): 0.0
ρ (g/cm3): 6.45

CIF file:
```
data_CaIn2Ag2
_symmetry_space_group_name_H-M 'C 1 2/m 1'
_symmetry_Int_Tables_number 12
_cell_length_a 10.711
_cell_length_b 4.720
_cell_length_c 5.406
_cell_angle_alpha 90.00
_cell_angle_beta 113.76
_cell_angle_gamma 90.00
loop_
_symmetry_equiv_pos_as_xyz
'x,y,z'
'-x,-y,-z'
'-x,y,-z'
'x,-y,z'
'x+1/2,y+1/2,z'
'-x+1/2,-y+1/2,-z'
'-x+1/2,y+1/2,-z'
'x+1/2,-y+1/2,z'
loop_
_atom_site_label
_atom_site_fract_x
_atom_site_fract_y
_atom_site_fract_z
Ca1 0.000 0.000 0.000
In1 0.146 0.500 0.556
Ag1 0.230 0.500 0.128
```

---

(2)
A plane-wave DFT calculation with PBE-GGA was carried out for a relaxed CoBi3P crystal.

DFT formation energy (meV/atom): 586
Magnetic moment (μB per cell): 0.0
ρ (g/cm3): 9.14

CIF file:
```
data_CoBi3P
_symmetry_space_group_name_H-M 'P m -3 m'
_symmetry_Int_Tables_number 221
_symmetry_space_group_name_Hall '-P 4 2 3'
_cell_length_a 5.068
_cell_length_b 5.068
_cell_length_c 5.068
_cell_angle_alpha 90.00
_cell_angle_beta 90.00
_cell_angle_gamma 90.00
loop_
_atom_site_label
_atom_site_fract_x
_atom_site_fract_y
_atom_site_fract_z
Co1 0.000 0.000 0.000
Bi1 0.000 0.000 0.500
P1 0.500 0.500 0.500
```

---

(3)
A plane-wave DFT calculation with PBE-GGA was carried out for a relaxed Cs2Rb2Hg crystal.

E above lowest polymorph (eV per atom): 0.0803
DFT formation energy (meV/atom): -18
Magnetic moment (μB per cell): 0.0
ρ (g/cm3): 2.48

CIF file:
```
data_Cs2Rb2Hg
_symmetry_space_group_name_H-M 'P 4/m b m'
_symmetry_Int_Tables_number 127
_symmetry_space_group_name_Hall '-P 4 2ab'
_cell_length_a 10.217
_cell_length_b 10.217
_cell_length_c 8.164
_cell_angle_alpha 90.00
_cell_angle_beta 90.00
_cell_angle_gamma 90.00
loop_
_atom_site_label
_atom_site_fract_x
_atom_site_fract_y
_atom_site_fract_z
Cs1 0.164 0.336 0.000
Rb1 0.174 0.674 0.500
Hg1 0.000 0.000 0.000
```

---

(4)
A plane-wave DFT calculation with PBE-GGA was carried out for a relaxed AlH2I6 crystal.

Magnetic moment (μB per cell): 4.0
ρ (g/cm3): 3.03

CIF file:
```
data_AlH2I6
_symmetry_space_group_name_H-M 'C 1 2/c 1'
_symmetry_Int_Tables_number 15
_cell_length_a 14.174
_cell_length_b 20.969
_cell_length_c 5.994
_cell_angle_alpha 90.00
_cell_angle_beta 103.09
_cell_angle_gamma 90.00
loop_
_symmetry_equiv_pos_as_xyz
'x,y,z'
'-x,-y,-z'
'-x,y,-z+1/2'
'x,-y,z+1/2'
'x+1/2,y+1/2,z'
'-x+1/2,-y+1/2,-z'
'-x+1/2,y+1/2,-z+1/2'
'x+1/2,-y+1/2,z+1/2'
loop_
_atom_site_label
_atom_site_fract_x
_atom_site_fract_y
_atom_site_fract_z
Al1 0.000 0.177 0.250
H1 0.146 0.487 0.374
I1 0.080 0.100 0.589
I2 0.138 0.237 0.155
I3 0.149 0.429 0.567
```

---

(5)
A plane-wave DFT calculation with PBE-GGA was carried out for a relaxed CsCa2In2 crystal.

E above lowest polymorph (eV per atom): 0.0508
DFT formation energy (meV/atom): -139
Magnetic moment (μB per cell): 0.0
ρ (g/cm3): 3.64

CIF file:
```
data_CsCa2In2
_symmetry_space_group_name_H-M 'I 4/m m m'
_symmetry_Int_Tables_number 139
_symmetry_space_group_name_Hall '-I 4 2'
_cell_length_a 5.897
_cell_length_b 5.897
_cell_length_c 11.617
_cell_angle_alpha 90.00
_cell_angle_beta 90.00
_cell_angle_gamma 90.00
loop_
_atom_site_label
_atom_site_fract_x
_atom_site_fract_y
_atom_site_fract_z
Cs1 0.000 0.000 0.000
Ca1 0.000 0.500 0.250
In1 0.000 0.000 0.380
```

---

(6)
A plane-wave DFT calculation with PBE-GGA was carried out for a relaxed TlRe2Pb crystal.

E above lowest polymorph (eV per atom): 0.0000
DFT formation energy (meV/atom): 446
Magnetic moment (μB per cell): 0.0
ρ (g/cm3): 15.11

CIF file:
```
data_TlRe2Pb
_symmetry_space_group_name_H-M 'P 1 m 1'
_symmetry_Int_Tables_number 6
_cell_length_a 3.075
_cell_length_b 3.111
_cell_length_c 9.134
_cell_angle_alpha 90.00
_cell_angle_beta 99.54
_cell_angle_gamma 90.00
loop_
_symmetry_equiv_pos_as_xyz
'x,y,z'
'x,-y,z'
loop_
_atom_site_label
_atom_site_fract_x
_atom_site_fract_y
_atom_site_fract_z
Tl1 0.000 0.000 0.000
Re1 0.378 0.500 0.754
Re2 0.802 0.000 0.600
Pb1 0.178 0.500 0.351
```

---

(7)
A plane-wave DFT calculation with PBE-GGA was carried out for a relaxed Sc2AgHg3 crystal.

E above lowest polymorph (eV per atom): 0.0085
DFT formation energy (meV/atom): -277
Magnetic moment (μB per cell): 0.0
ρ (g/cm3): 10.47

CIF file:
```
data_Sc2AgHg3
_symmetry_space_group_name_H-M 'P 4/m m m'
_symmetry_Int_Tables_number 123
_symmetry_space_group_name_Hall '-P 4 2'
_cell_length_a 3.507
_cell_length_b 3.507
_cell_length_c 10.310
_cell_angle_alpha 90.00
_cell_angle_beta 90.00
_cell_angle_gamma 90.00
loop_
_atom_site_label
_atom_site_fract_x
_atom_site_fract_y
_atom_site_fract_z
Sc1 0.000 0.000 0.173
Ag1 0.000 0.000 0.500
Hg1 0.500 0.500 0.000
Hg2 0.500 0.500 0.337
```

---

(8)
A plane-wave DFT calculation with PBE-GGA was carried out for a relaxed Sr2CdIn6Pt crystal.

DFT formation energy (meV/atom): -110
Magnetic moment (μB per cell): 0.0
ρ (g/cm3): 6.08

CIF file:
```
data_Sr2CdIn6Pt
_symmetry_space_group_name_H-M 'F m -3 m'
_symmetry_Int_Tables_number 225
_symmetry_space_group_name_Hall '-F 4 2 3'
_cell_length_a 10.858
_cell_length_b 10.858
_cell_length_c 10.858
_cell_angle_alpha 90.00
_cell_angle_beta 90.00
_cell_angle_gamma 90.00
loop_
_atom_site_label
_atom_site_fract_x
_atom_site_fract_y
_atom_site_fract_z
Sr1 0.250 0.250 0.250
Cd1 0.000 0.000 0.000
In1 0.000 0.000 0.256
Pt1 0.000 0.000 0.500
```

---

no.,calculated volume (A^3/atom),N(E_F) (states/eV/f.u.),energy (eV per atom)
1,25.0,2.3,-2.868
2,26.0,4.3,-4.246
3,85.2,4.0,-0.807
4,48.2,0.3,-2.422
5,40.4,3.3,-2.206
6,21.5,1.8,-7.297
7,21.1,4.3,-3.014
8,32.0,5.4,-2.785